First-principles (GGA-PBE) data for an optimized crystal structure of Tm3Si2Os2, as listed in Alexandria.

```
Tm3Si2Os2
1.0
-0.4345 -5.0316 -2.2670
-0.3631 -3.0462 6.8306
-13.3305 1.2244 -0.1626
Si Os Tm
8 8 12
Direct
0.8668 0.0987 0.7500
0.3988 0.2500 0.0000
0.1332 0.5987 0.7500
0.6012 0.7500 0.0000
0.3988 0.2500 0.5000
0.8668 0.4013 0.2500
0.6012 0.7500 0.5000
0.1332 0.9013 0.2500
0.3508 0.9722 0.0919
0.6492 0.0278 0.5919
0.6492 0.4722 0.4081
0.3508 0.5278 0.9081
0.6492 0.4722 0.0919
0.3508 0.5278 0.5919
0.3508 0.9722 0.4081
0.6492 0.0278 0.9081
0.8567 0.3961 0.6012
0.3776 0.2477 0.2500
0.8567 0.3961 0.8988
0.8567 0.1039 0.1012
0.1433 0.8961 0.8988
0.1433 0.6039 0.3988
0.1433 0.8961 0.6012
0.6224 0.7477 0.2500
0.8567 0.1039 0.3988
0.6224 0.7523 0.7500
0.1433 0.6039 0.1012
0.3776 0.2523 0.7500
```

Summary:
Its density of states at the Fermi level is 15.63 states/eV per cell. As for the raw formation energy: -0.67 eV/atom. As for the calculated volume: 19.8 Å³ per atom.